1.
11
Lattice="-1.875 1.875 11.283 1.875 -1.875 11.283 1.875 1.875 -11.283" Properties=species:S:1:pos:R:3 comment="Fe3Co2Rh6 GGA-PBE optimized geometry" total_magnetization_mub_per_cell=14.267 formation_enthalpy_0k_ev_per_atom=0.353 n_ef_per_ev_fu=14.3 e_tot_ev_per_atom=-7.26 pbc="T T T"
Fe 0.000 0.000 0.000
Fe 0.000 0.000 4.308
Fe 0.000 0.000 18.257
Co 0.000 0.000 10.272
Co 0.000 0.000 12.294
Rh 1.875 0.000 2.541
Rh 0.000 0.000 6.712
Rh 1.875 0.000 8.742
Rh 0.000 1.875 2.541
Rh 0.000 0.000 15.854
Rh 0.000 1.875 8.742



2.
16
Lattice="3.676 0.000 0.000 0.000 3.676 0.000 0.000 0.000 14.264" Properties=species:S:1:pos:R:3 comment="FeCo5Rh2 GGA-PBE optimized geometry" total_magnetization_mub_per_cell=25.133 formation_enthalpy_0k_ev_per_atom=0.060 n_ef_per_ev_fu=10.5 e_tot_ev_per_atom=-7.28 pbc="T T T"
Fe 0.000 0.000 0.000
Fe 1.838 1.838 7.132
Co 0.000 0.000 7.132
Co 0.000 1.838 1.691
Co 0.000 1.838 5.441
Co 0.000 1.838 8.823
Co 0.000 1.838 12.572
Co 1.838 0.000 1.691
Co 1.838 0.000 5.441
Co 1.838 0.000 8.823
Co 1.838 0.000 12.572
Co 1.838 1.838 0.000
Rh 0.000 0.000 3.558
Rh 0.000 0.000 10.706
Rh 1.838 1.838 3.574
Rh 1.838 1.838 10.689



3.
4
Lattice="2.626 0.000 0.000 0.000 2.626 0.000 0.000 0.000 7.052" Properties=species:S:1:pos:R:3 comment="FeCo2Rh GGA-PBE optimized geometry" total_magnetization_mub_per_cell=6.691 formation_enthalpy_0k_ev_per_atom=0.040 n_ef_per_ev_fu=5.7 e_tot_ev_per_atom=-7.47 pbc="T T T"
Fe 0.000 0.000 0.000
Co 0.000 0.000 3.761
Co 1.313 1.313 5.346
Rh 1.313 1.313 1.897



4.
29
Lattice="0.000 5.902 5.902 5.902 0.000 5.902 5.902 5.902 0.000" Properties=species:S:1:pos:R:3 comment="Fe7Co6Rh16 GGA-PBE optimized geometry" total_magnetization_mub_per_cell=37.403 formation_enthalpy_0k_ev_per_atom=0.255 n_ef_per_ev_fu=40.9 e_tot_ev_per_atom=-7.31 pbc="T T T"
Fe 0.000 0.000 0.000
Fe 2.951 2.951 0.000
Fe 2.951 0.000 2.951
Fe 5.902 2.951 2.951
Fe 0.000 2.951 2.951
Fe 2.951 5.902 2.951
Fe 2.951 2.951 5.902
Co 5.902 5.902 4.127
Co 5.902 4.127 5.902
Co 7.678 5.902 5.902
Co 4.127 5.902 5.902
Co 5.902 7.678 5.902
Co 5.902 5.902 7.678
Rh 7.779 4.025 4.025
Rh 1.396 1.396 1.396
Rh 4.506 4.506 1.396
Rh 4.506 1.396 4.506
Rh 4.025 4.025 4.025
Rh 7.779 7.779 4.025
Rh 7.779 4.025 7.779
Rh 10.409 7.299 7.299
Rh 1.396 4.506 4.506
Rh 4.025 7.779 4.025
Rh 4.025 4.025 7.779
Rh 7.779 7.779 7.779
Rh 7.299 10.409 7.299
Rh 7.299 7.299 10.409
Rh 10.409 10.409 10.409
Rh 4.025 7.779 7.779



5.
8
Lattice="2.833 0.000 0.000 0.000 4.269 0.000 0.000 0.000 8.224" Properties=species:S:1:pos:R:3 comment="FeCo2Rh GGA-PBE optimized geometry" total_magnetization_mub_per_cell=14.394 formation_enthalpy_0k_ev_per_atom=0.131 n_ef_per_ev_fu=5.1 e_tot_ev_per_atom=-7.38 pbc="T T T"
Fe 0.000 0.000 0.000
Fe 1.416 2.134 0.000
Co 0.000 0.000 4.320
Co 0.000 2.134 6.265
Co 1.416 0.000 6.265
Co 1.416 2.134 4.320
Rh 0.000 2.134 2.153
Rh 1.416 0.000 2.153



6.
8
Lattice="3.643 0.000 0.000 0.000 3.643 0.000 0.000 0.000 7.345" Properties=species:S:1:pos:R:3 comment="FeCo2Rh GGA-PBE optimized geometry" total_magnetization_mub_per_cell=13.572 formation_enthalpy_0k_ev_per_atom=0.031 n_ef_per_ev_fu=5.0 e_tot_ev_per_atom=-7.48 pbc="T T T"
Fe 0.000 0.000 0.000
Fe 1.822 1.822 3.672
Co 0.000 0.000 3.672
Co 0.000 1.822 5.508
Co 1.822 0.000 1.836
Co 1.822 1.822 0.000
Rh 0.000 1.822 1.836
Rh 1.822 0.000 5.508